Model a:
A plane-wave DFT calculation with PBE was carried out for a geometry-optimized KRe2Mo structure.

Space-group type: P4/mmm
Crystal system: tetragonal

Cell: 4.8537 3.8175 3.8175 Å, 90.00 90.00 90.00°
Positions (direct):
K 0.5000 0.5000 0.0000
Re 0.0000 0.0000 0.0000
Re 0.0000 0.5000 0.5000
Mo 0.5000 0.0000 0.5000


Model b:
A plane-wave DFT calculation with PBE was carried out for a geometry-optimized KRe2Mo structure.

Space-group type: Cmm2
Crystal system: orthorhombic

Cell: 2.7342 2.7342 10.5581 Å, 90.00 90.00 111.81°
Positions (direct):
Re 0.5000 0.5000 0.2100
Mo 0.5000 0.5000 0.7944
Re 0.0000 0.0000 0.0029
K 0.0000 0.0000 0.4927


Model c:
A plane-wave DFT calculation with PBE was carried out for a geometry-optimized KRe2Mo structure.

Space-group type: R3m
Crystal system: trigonal

Cell: 10.8188 10.8188 10.8188 Å, 14.95 14.95 14.95°
Positions (direct):
Re 0.0026 0.0026 0.0026
Re 0.7357 0.7357 0.7357
K 0.4979 0.4979 0.4979
Mo 0.2638 0.2638 0.2638


Quick ranking, most stable first: model c, model b, model a.


Model a:
A plane-wave DFT calculation with PBE was carried out for a geometry-optimized KRe2Mo structure.

Space-group type: Pmm2
Crystal system: orthorhombic

Cell: 2.7927 3.9909 8.0807 Å, 90.00 90.00 90.00°
Positions (direct):
Re 0.0000 0.0000 0.0124
K 0.0000 0.0000 0.4915
Mo 0.5000 0.5000 0.8488
Re 0.5000 0.5000 0.1474


Model b:
A plane-wave DFT calculation with PBE was carried out for a geometry-optimized KRe2Mo structure.

Space-group type: Imm2
Crystal system: orthorhombic

Cell: 6.1410 6.1410 6.1410 Å, 154.81 127.38 59.20°
Positions (direct):
Re 0.9967 0.9967 0.0000
K 0.5023 0.5023 0.0000
Mo 0.2119 0.7119 0.5000
Re 0.7891 0.2891 0.5000


Quick ranking, most stable first: model a, model b.


Model a:
A plane-wave DFT calculation with PBE was carried out for a geometry-optimized KRe2Mo structure.

Space-group type: Pmmm
Crystal system: orthorhombic

Cell: 2.7885 4.0494 7.9987 Å, 90.00 90.00 90.00°
Positions (direct):
Re 0.0000 0.0000 0.6006
Mo 0.5000 0.5000 0.7500
K 0.5000 0.5000 0.2500
Re 0.0000 0.0000 0.8994


Model b:
A plane-wave DFT calculation with PBE was carried out for a geometry-optimized KRe2Mo structure.

Space-group type: C2/m
Crystal system: monoclinic

Cell: 5.6437 5.6437 2.6254 Å, 81.31 81.31 119.90°
Positions (direct):
Re 0.5000 0.5000 0.0000
Mo 0.0000 0.5000 0.5000
Re 0.0000 0.0000 0.0000
K 0.5000 0.0000 0.5000


Quick ranking, most stable first: model a, model b.


Model a:
A plane-wave DFT calculation with PBE was carried out for a geometry-optimized KRe2Mo structure.

Space-group type: Immm
Crystal system: orthorhombic

Cell: 6.0258 6.0258 6.0258 Å, 153.91 129.02 58.15°
Positions (direct):
K 0.7500 0.2500 0.5000
Re 0.4678 0.4678 0.0000
Mo 0.2500 0.7500 0.5000
Re 0.0322 0.0322 0.0000


Model b:
A plane-wave DFT calculation with PBE was carried out for a geometry-optimized KRe2Mo structure.

Space-group type: I4_1/amd
Crystal system: tetragonal

Cell: 5.0143 5.0143 9.3184 Å, 74.39 74.39 90.00°
Positions (direct):
Re 0.8750 0.1249 0.7500
K 0.5000 0.5000 0.0000
Re 0.8749 0.1250 0.2500
Mo 0.7500 0.2500 0.5000
Re 0.8751 0.6250 0.2500
Re 0.3750 0.1251 0.7500
K 0.2500 0.7500 0.5000
Mo 0.0000 0.0000 0.0000


Quick ranking, most stable first: model a, model b.